one) TlGeTe4 | PBE | optimized geometry

Lattice parameters (Å, degrees): 7.300 7.439 8.983 108.61 113.40 90.30
Atoms (fractional coordinates):
Tl 0.248 0.251 0.000
Tl 0.752 0.749 0.000
Ge 0.000 0.500 0.500
Ge 0.500 0.000 0.500
Te 0.110 0.786 0.844
Te 0.159 0.153 0.579
Te 0.267 0.715 0.155
Te 0.420 0.652 0.581
Te 0.580 0.348 0.419
Te 0.733 0.285 0.845
Te 0.841 0.847 0.421
Te 0.890 0.214 0.156

Calculated values
- DOS(E_F) (states/eV/cell) = 6.040
- SG = P-1 (2)


two) TlGeTe4 | PBE | optimized geometry

Lattice parameters (Å, degrees): 8.601 8.601 7.749 95.91 95.91 126.84
Atoms (fractional coordinates):
Tl 0.105 0.895 0.750
Tl 0.895 0.105 0.250
Ge 0.219 0.781 0.250
Ge 0.781 0.219 0.750
Te 0.131 0.324 0.884
Te 0.224 0.597 0.502
Te 0.324 0.131 0.384
Te 0.403 0.776 0.998
Te 0.597 0.224 0.002
Te 0.676 0.869 0.616
Te 0.776 0.403 0.498
Te 0.869 0.676 0.116

Calculated values
- DOS(E_F) (states/eV/cell) = 4.934
- SG = C2/c (15)


It is two) that is the most stable of them.


one) Tl3Ge2Te4 | PBE | optimized geometry

Lattice parameters (Å, degrees): 9.413 9.413 8.751 93.48 93.48 59.46
Atoms (fractional coordinates):
Tl 0.013 0.987 0.750
Tl 0.268 0.481 0.643
Tl 0.481 0.268 0.143
Tl 0.519 0.732 0.857
Tl 0.732 0.519 0.357
Tl 0.987 0.013 0.250
Ge 0.040 0.349 0.020
Ge 0.349 0.040 0.520
Ge 0.651 0.960 0.480
Ge 0.960 0.651 0.980
Te 0.158 0.286 0.323
Te 0.222 0.677 0.014
Te 0.286 0.158 0.823
Te 0.323 0.778 0.486
Te 0.677 0.222 0.514
Te 0.714 0.842 0.177
Te 0.778 0.323 0.986
Te 0.842 0.714 0.677

Calculated values
- DOS(E_F) (states/eV/cell) = 5.209
- SG = C2/c (15)


two) Tl3Ge2Te4 | PBE | optimized geometry

Lattice parameters (Å, degrees): 9.622 9.622 7.107 93.56 93.56 76.93
Atoms (fractional coordinates):
Tl 0.111 0.889 0.750
Tl 0.259 0.511 0.040
Tl 0.489 0.741 0.460
Tl 0.511 0.259 0.540
Tl 0.741 0.489 0.960
Tl 0.889 0.111 0.250
Ge 0.077 0.328 0.573
Ge 0.328 0.077 0.073
Ge 0.672 0.923 0.927
Ge 0.923 0.672 0.427
Te 0.069 0.258 0.944
Te 0.224 0.542 0.551
Te 0.258 0.069 0.444
Te 0.458 0.776 0.949
Te 0.542 0.224 0.051
Te 0.742 0.931 0.556
Te 0.776 0.458 0.449
Te 0.931 0.742 0.056

Calculated values
- DOS(E_F) (states/eV/cell) = 8.166
- SG = C2/c (15)


It is one) that is the most stable of them.


one) Tl2GeTe2 | PBE | optimized geometry

Lattice parameters (Å, degrees): 8.221 8.221 4.866 90.00 90.00 90.00
Atoms (fractional coordinates):
Tl 0.141 0.359 0.000
Tl 0.359 0.859 0.000
Tl 0.641 0.141 0.000
Tl 0.859 0.641 0.000
Ge 0.000 0.000 0.500
Ge 0.500 0.500 0.500
Te 0.176 0.676 0.500
Te 0.324 0.176 0.500
Te 0.676 0.824 0.500
Te 0.824 0.324 0.500

Calculated values
- DOS(E_F) (states/eV/cell) = 5.905
- SG = P4/mbm (127)


two) Tl2GeTe2 | PBE | optimized geometry

Lattice parameters (Å, degrees): 11.525 11.525 6.871 90.00 90.00 158.10
Atoms (fractional coordinates):
Tl 0.031 0.969 0.500
Tl 0.200 0.800 0.759
Tl 0.800 0.200 0.259
Tl 0.969 0.031 0.000
Ge 0.401 0.599 0.703
Ge 0.599 0.401 0.203
Te 0.175 0.825 0.273
Te 0.408 0.592 0.307
Te 0.592 0.408 0.807
Te 0.825 0.175 0.773

Calculated values
- DOS(E_F) (states/eV/cell) = 0.899
- SG = Cmc2_1 (36)


It is two) that is the most stable of them.


one) TlGeTe | PBE | optimized geometry

Lattice parameters (Å, degrees): 4.777 4.777 4.655 90.00 90.00 120.00
Atoms (fractional coordinates):
Tl 0.000 0.000 0.000
Ge 0.667 0.333 0.381
Te 0.333 0.667 0.572

Calculated values
- DOS(E_F) (states/eV/cell) = 1.503
- SG = P3m1 (156)


two) TlGeTe | PBE | optimized geometry

Lattice parameters (Å, degrees): 6.937 6.937 8.548 90.00 90.00 123.51
Atoms (fractional coordinates):
Tl 0.169 0.331 0.250
Tl 0.331 0.169 0.750
Tl 0.669 0.831 0.250
Tl 0.831 0.669 0.750
Ge 0.131 0.869 0.438
Ge 0.369 0.631 0.938
Ge 0.631 0.369 0.062
Ge 0.869 0.131 0.562
Te 0.161 0.839 0.088
Te 0.339 0.661 0.588
Te 0.661 0.339 0.412
Te 0.839 0.161 0.912

Calculated values
- DOS(E_F) (states/eV/cell) = 4.967
- SG = Cmce (64)


It is two) that is the most stable of them.


one) TlGe3Te3 | PBE | optimized geometry

Lattice parameters (Å, degrees): 8.152 8.152 8.152 67.02 67.02 67.02
Atoms (fractional coordinates):
Tl 0.170 0.170 0.170
Tl 0.830 0.830 0.830
Ge 0.044 0.437 0.724
Ge 0.276 0.956 0.563
Ge 0.437 0.724 0.044
Ge 0.563 0.276 0.956
Ge 0.724 0.044 0.437
Ge 0.956 0.563 0.276
Te 0.145 0.710 0.377
Te 0.290 0.623 0.855
Te 0.377 0.145 0.710
Te 0.623 0.855 0.290
Te 0.710 0.377 0.145
Te 0.855 0.290 0.623

Calculated values
- DOS(E_F) (states/eV/cell) = 6.365
- SG = R-3 (148)


two) TlGe3Te3 | PBE | optimized geometry

Lattice parameters (Å, degrees): 9.612 9.612 9.612 51.54 51.54 51.54
Atoms (fractional coordinates):
Tl 0.201 0.201 0.201
Tl 0.799 0.799 0.799
Ge 0.084 0.084 0.694
Ge 0.084 0.694 0.084
Ge 0.306 0.916 0.916
Ge 0.694 0.084 0.084
Ge 0.916 0.306 0.916
Ge 0.916 0.916 0.306
Te 0.220 0.724 0.724
Te 0.276 0.276 0.780
Te 0.276 0.780 0.276
Te 0.724 0.220 0.724
Te 0.724 0.724 0.220
Te 0.780 0.276 0.276

Calculated values
- DOS(E_F) (states/eV/cell) = 0.037
- SG = R-3m (166)


It is one) that is the most stable of them.


one) Tm2GeTe | PBE | optimized geometry

Lattice parameters (Å, degrees): 7.407 7.407 7.407 32.89 32.89 32.89
Atoms (fractional coordinates):
Tm 0.239 0.239 0.239
Tm 0.761 0.761 0.761
Ge 0.500 0.500 0.500
Te 0.000 0.000 0.000

Calculated values
- DOS(E_F) (states/eV/cell) = 0.615
- SG = R-3m (166)


two) Tm2GeTe | PBE | optimized geometry

Lattice parameters (Å, degrees): 5.081 5.081 5.864 90.00 90.00 120.00
Atoms (fractional coordinates):
Tm 0.000 0.000 0.000
Tm 0.333 0.667 0.500
Ge 0.333 0.667 0.000
Te 0.000 0.000 0.500

Calculated values
- DOS(E_F) (states/eV/cell) = 0.988
- SG = P-6m2 (187)


It is one) that is the most stable of them.


one) GeTe3W | PBE | optimized geometry

Lattice parameters (Å, degrees): 5.289 5.289 5.289 90.00 90.00 90.00
Atoms (fractional coordinates):
Ge 0.000 0.000 0.000
Te 0.000 0.000 0.500
Te 0.000 0.500 0.000
Te 0.500 0.000 0.000
W 0.500 0.500 0.500

Calculated values
- DOS(E_F) (states/eV/cell) = 3.568
- SG = Pm-3m (221)


two) GeTe3W | PBE | optimized geometry

Lattice parameters (Å, degrees): 5.318 5.318 5.318 90.00 90.00 90.00
Atoms (fractional coordinates):
Ge 0.000 0.000 0.000
Te 0.000 0.500 0.500
Te 0.500 0.000 0.500
Te 0.500 0.500 0.000
W 0.500 0.500 0.500

Calculated values
- DOS(E_F) (states/eV/cell) = 5.728
- SG = Pm-3m (221)


It is two) that is the most stable of them.


one) Y2GeTe | PBE | optimized geometry

Lattice parameters (Å, degrees): 7.515 7.515 7.515 32.86 32.86 32.86
Atoms (fractional coordinates):
Y 0.240 0.240 0.240
Y 0.760 0.760 0.760
Ge 0.500 0.500 0.500
Te 0.000 0.000 0.000

Calculated values
- DOS(E_F) (states/eV/cell) = 0.700
- SG = R-3m (166)


two) Y2GeTe | PBE | optimized geometry

Lattice parameters (Å, degrees): 8.273 8.273 8.273 132.19 132.19 69.93
Atoms (fractional coordinates):
Y 0.087 0.625 0.962
Y 0.375 0.337 0.462
Y 0.663 0.125 0.038
Y 0.875 0.913 0.538
Ge 0.000 0.000 0.000
Ge 0.750 0.250 0.500
Te 0.250 0.750 0.500
Te 0.500 0.500 0.000

Calculated values
- DOS(E_F) (states/eV/cell) = 0.000
- SG = I-42d (122)


three) Y2GeTe | PBE | optimized geometry

Lattice parameters (Å, degrees): 7.669 7.669 7.669 32.01 32.01 32.01
Atoms (fractional coordinates):
Y 0.000 0.000 0.000
Y 0.190 0.190 0.190
Ge 0.596 0.596 0.596
Te 0.427 0.427 0.427

Calculated values
- DOS(E_F) (states/eV/cell) = 0.599
- SG = R3m (160)


It is one) that is the most stable of them.


one) Y2GeTe | PBE | optimized geometry

Lattice parameters (Å, degrees): 5.256 5.256 5.256 60.00 60.00 60.00
Atoms (fractional coordinates):
Y 0.250 0.250 0.250
Y 0.750 0.750 0.750
Ge 0.000 0.000 0.000
Te 0.500 0.500 0.500

Calculated values
- DOS(E_F) (states/eV/cell) = 1.639
- SG = Fm-3m (225)


two) Y2GeTe | PBE | optimized geometry

Lattice parameters (Å, degrees): 5.154 5.154 5.938 90.00 90.00 120.00
Atoms (fractional coordinates):
Y 0.000 0.000 0.000
Y 0.333 0.667 0.500
Ge 0.333 0.667 0.000
Te 0.000 0.000 0.500

Calculated values
- DOS(E_F) (states/eV/cell) = 1.123
- SG = P-6m2 (187)


It is two) that is the most stable of them.


one) Zn2GeTe | PBE | optimized geometry

Lattice parameters (Å, degrees): 4.887 4.887 4.887 60.00 60.00 60.00
Atoms (fractional coordinates):
Zn 0.250 0.250 0.250
Zn 0.750 0.750 0.750
Ge 0.000 0.000 0.000
Te 0.500 0.500 0.500

Calculated values
- DOS(E_F) (states/eV/cell) = 3.100
- SG = Fm-3m (225)


two) Zn2GeTe | PBE | optimized geometry

Lattice parameters (Å, degrees): 7.004 7.004 7.004 127.31 127.31 77.74
Atoms (fractional coordinates):
Zn 0.102 0.625 0.977
Zn 0.375 0.352 0.477
Zn 0.648 0.125 0.023
Zn 0.875 0.898 0.523
Ge 0.000 0.000 0.000
Ge 0.750 0.250 0.500
Te 0.250 0.750 0.500
Te 0.500 0.500 0.000

Calculated values
- DOS(E_F) (states/eV/cell) = 3.766
- SG = I-42d (122)


It is two) that is the most stable of them.


one) Zr2Ge2Te | PBE | optimized geometry

Lattice parameters (Å, degrees): 7.528 7.528 3.664 90.00 90.00 90.00
Atoms (fractional coordinates):
Zr 0.181 0.319 0.000
Zr 0.319 0.819 0.000
Zr 0.681 0.181 0.000
Zr 0.819 0.681 0.000
Ge 0.119 0.619 0.500
Ge 0.381 0.119 0.500
Ge 0.619 0.881 0.500
Ge 0.881 0.381 0.500
Te 0.000 0.000 0.500
Te 0.500 0.500 0.500

Calculated values
- DOS(E_F) (states/eV/cell) = 10.305
- SG = P4/mbm (127)


two) Zr2Ge2Te | PBE | optimized geometry

Lattice parameters (Å, degrees): 7.644 7.644 3.712 90.00 90.00 90.00
Atoms (fractional coordinates):
Zr 0.167 0.333 0.000
Zr 0.333 0.833 0.000
Zr 0.667 0.167 0.000
Zr 0.833 0.667 0.000
Ge 0.122 0.622 0.500
Ge 0.378 0.122 0.500
Ge 0.622 0.878 0.500
Ge 0.878 0.378 0.500
Te 0.000 0.000 0.000
Te 0.500 0.500 0.000

Calculated values
- DOS(E_F) (states/eV/cell) = 9.136
- SG = P4/mbm (127)


It is two) that is the most stable of them.